1.
ZnCrFe | PBE | optimized geometry

Cell lengths 6.5170, 6.3730, 2.4948 Å; angles 82.11, 75.61, 22.28 degrees
Each line ends with the local moment (μB).
Atoms (fractional coordinates):
Cr1 0.9928 0.9928 0.0072  -0.20
Fe1 0.3390 0.3390 0.6610  2.19
Zn1 0.6682 0.6682 0.3318  -0.02

Properties
- Calculated volume: 12.3 A^3/atom
- ΔE_f: 131.7 meV per atom
- Total energy: -18.96 eV/cell
- Space-group type: Fmm2, No. 42


2.
SrAsBr2N | PBE | optimized geometry

Cell lengths 5.7263, 5.7263, 6.4805 Å; angles 90.00, 90.00, 90.00 degrees
Atoms (fractional coordinates):
Br1 0.0000 0.5000 0.0000
Br2 0.5000 0.0000 0.0000
N1 0.5000 0.5000 0.5000
As1 0.0000 0.0000 0.5000
Sr1 0.0000 0.0000 0.0000

Properties
- Calculated volume: 42.5 A^3/atom
- Formation energy from raw total energies: 5.68 eV/f.u.
- Total energy: -12.32 eV/cell
- Space-group type: P4/mmm, No. 123


3.
GaAs2Rh2 | PBE | optimized geometry

Cell lengths 3.9889, 3.9889, 6.8534 Å; angles 73.08, 73.08, 90.00 degrees
Atoms (fractional coordinates):
As1 0.6356 0.6356 0.7288
Rh1 0.7500 0.2500 0.5000
Rh2 0.2500 0.7500 0.5000
Ga1 0.0000 0.0000 0.0000
As2 0.3644 0.3644 0.2712

Properties
- Calculated volume: 19.9 A^3/atom
- ΔE_f: -278.7 meV per atom
- Total energy: -28.42 eV/cell
- Space-group type: I4/mmm, No. 139